Entry 1:
Ca3Ho3ScS8 after structural relaxation, computed with GGA-PBE.

The structure in POSCAR format:
```
Ca3Ho3ScS8
1.0
3.8940 2.2482 6.5301
-3.8940 2.2482 6.5301
0.0000 -4.4964 6.5301
Ca Ho Sc S
3 3 1 8
Direct
0.0000 0.5000 0.5000 Ca
0.5000 0.0000 0.5000 Ca
0.5000 0.5000 0.0000 Ca
0.0000 0.0000 0.5000 Ho
0.0000 0.5000 0.0000 Ho
0.5000 0.0000 0.0000 Ho
0.5000 0.5000 0.5000 Sc
0.2477 0.2477 0.2477 S
0.2548 0.7382 0.7382 S
0.2618 0.2618 0.7452 S
0.2618 0.7452 0.2618 S
0.7382 0.2548 0.7382 S
0.7382 0.7382 0.2548 S
0.7452 0.2618 0.2618 S
0.7523 0.7523 0.7523 S
```

Results
- Energy relative to the elements, uncorrected: -31.08 eV per formula unit

Entry 2:
Cs2NpI7 after structural relaxation, computed with GGA-PBE.

The structure in POSCAR format:
```
Cs2NpI7
1.0
0.0000 6.6344 6.6344
6.6344 0.0000 6.6344
6.6344 6.6344 0.0000
Cs Np I
2 1 7
Direct
0.2500 0.2500 0.2500 Cs
0.7500 0.7500 0.7500 Cs
0.0000 0.0000 0.0000 Np
0.2241 0.2241 0.7759 I
0.2241 0.7759 0.2241 I
0.2241 0.7759 0.7759 I
0.5000 0.5000 0.5000 I
0.7759 0.2241 0.2241 I
0.7759 0.2241 0.7759 I
0.7759 0.7759 0.2241 I
```

Results
- Energy relative to the elements, uncorrected: -9.24 eV per formula unit

Entry 3:
Sn2GeAs2 after structural relaxation, computed with GGA-PBE.

The structure in POSCAR format:
```
Sn2GeAs2
1.0
7.7661 0.0000 0.0000
0.0000 7.7661 0.0000
0.0000 0.0000 3.9389
Sn Ge As
4 2 4
Direct
0.1499 0.3501 0.0000 Sn
0.3501 0.8501 0.0000 Sn
0.6499 0.1499 0.0000 Sn
0.8501 0.6499 0.0000 Sn
0.0000 0.0000 0.5000 Ge
0.5000 0.5000 0.5000 Ge
0.1636 0.6636 0.5000 As
0.3364 0.1636 0.5000 As
0.6636 0.8364 0.5000 As
0.8364 0.3364 0.5000 As
```

Results
- E_form: 0.8 eV per formula unit

The records above yield energy values of -6.01; -3.47; -4.22 eV/atom, respectively.
The records above yield M_tot values of 0.000; 0.197; 0.000 μB/atom, respectively.